[1]
First-principles (PBE) data for a geometry-optimized CsSb2OsO structure, as listed in Alexandria.

DOS at the Fermi energy = 3.7 states/eV per cell
ΔE_f (raw) = 0.21 eV/f.u.
Uncorrected energy = -0.1843 hartree per atom
Crystal system = tetragonal

POSCAR file:
```
CsSb2OsO
1.0
-5.0668 -2.9528 0.9125
1.8676 -2.6484 1.8003
-0.7821 2.9203 5.1072
Os Cs Sb O
1 1 2 1
Cartesian
0.0000 0.0000 0.0000
-1.9906 -1.3404 3.9100
-2.5334 -1.4764 0.4562
-0.3911 1.4602 2.5536
0.9338 -1.3242 0.9002
```

=====

[2]
First-principles (PBE) data for a geometry-optimized Cs2SbOsO6 structure, as listed in Alexandria.

DOS at the Fermi energy = 4.3 states/eV per cell
ΔE_f (raw) = -11.43 eV/f.u.
Uncorrected energy = -0.2140 hartree per atom
Crystal system = cubic

POSCAR file:
```
Cs2SbOsO6
1.0
6.0761 -0.0003 -0.0004
-0.0004 6.0761 -0.0004
3.0378 3.0378 4.2968
O Cs Os Sb
6 2 1 1
Cartesian
3.0376 3.0377 2.3666
4.7111 1.3646 -0.0004
6.0758 6.0759 1.9295
4.7104 4.7105 -0.0006
4.4030 4.4031 4.2966
1.3646 4.7111 -0.0004
3.0377 6.0758 2.1480
6.0758 3.0378 2.1480
3.0378 3.0378 4.2968
6.0756 6.0757 4.2963
```

=====

[3]
First-principles (PBE) data for a geometry-optimized CsSbOsO6 structure, as listed in Alexandria.

DOS at the Fermi energy = 5.8 states/eV per cell
ΔE_f (raw) = -11.87 eV/f.u.
Uncorrected energy = -0.2361 hartree per atom
Crystal system = orthorhombic

POSCAR file:
```
CsSbOsO6
1.0
7.3280 0.0000 0.0000
0.0000 7.3280 0.0000
-3.6640 -3.6640 5.2142
O Sb Cs Os
12 2 2 2
Cartesian
3.6640 1.8320 0.5900
-1.3818 -0.3680 3.9194
0.0000 1.8320 4.6242
1.3818 4.0320 3.9194
2.2822 -0.3680 1.2948
5.0458 -0.3680 1.2948
0.0000 5.4960 1.8207
2.2822 4.0320 1.2948
3.6640 -1.8320 3.3935
1.3818 -0.3680 3.9194
-1.3818 4.0320 3.9194
5.0458 4.0320 1.2948
1.8320 -1.8320 2.6071
-1.8320 -1.8320 2.6071
0.0000 1.8320 1.3340
3.6640 1.8320 3.8802
3.6640 0.0000 0.0000
3.6640 3.6640 0.0000
```

=====

[4]
First-principles (PBE) data for a geometry-optimized CsScOs2O8 structure, as listed in Alexandria.

DOS at the Fermi energy = 4.2 states/eV per cell
ΔE_f (raw) = -18.33 eV/f.u.
Uncorrected energy = -0.2684 hartree per atom
Crystal system = trigonal

POSCAR file:
```
CsScOs2O8
1.0
-4.3467 1.8596 -3.2855
-1.0765 -2.2988 5.1675
0.6138 7.7592 3.5796
O Sc Os Cs
8 1 2 1
Cartesian
-3.3439 4.5025 4.0891
-0.3866 4.4493 3.6973
-1.6006 6.2419 5.6505
-1.5771 3.3815 6.2161
-3.2324 3.9385 -0.7545
-4.4229 2.8706 1.7643
-1.4656 2.8175 1.3725
-3.2088 1.0781 -0.1889
0.3069 3.8796 1.7898
-3.0817 2.6855 0.5527
-1.7278 4.6345 4.9089
0.0000 0.0000 0.0000
```

=====

[5]
First-principles (PBE) data for a geometry-optimized CsSiOsO6 structure, as listed in Alexandria.

DOS at the Fermi energy = 1.4 states/eV per cell
ΔE_f (raw) = -14.75 eV/f.u.
Uncorrected energy = -0.2532 hartree per atom
Crystal system = trigonal

POSCAR file:
```
CsSiOsO6
1.0
-2.4223 4.3759 -0.3978
-1.7058 2.3064 4.1164
5.8762 3.3059 0.5826
O Os Si Cs
6 1 1 1
Cartesian
0.0569 4.2297 2.4732
1.7495 5.6637 1.7754
1.3131 2.1115 1.8228
2.8128 3.5917 2.8067
2.8720 3.9314 0.2831
0.5679 3.7534 0.0238
0.1860 6.1076 2.7703
1.5621 3.8802 1.5308
3.4539 7.6816 0.1848
```

=====

[6]
First-principles (PBE) data for a geometry-optimized CsSrOs2O8 structure, as listed in Alexandria.

DOS at the Fermi energy = 11.2 states/eV per cell
ΔE_f (raw) = -17.56 eV/f.u.
Uncorrected energy = -0.2518 hartree per atom
Crystal system = trigonal

POSCAR file:
```
CsSrOs2O8
1.0
6.2218 0.0000 0.0000
-3.1109 5.3882 0.0000
0.0000 0.0000 8.6247
Os O Cs Sr
2 8 1 1
Cartesian
3.1109 1.7961 2.1137
0.0000 3.5922 6.5110
1.4733 4.4214 5.9174
3.1109 1.7961 0.3435
-1.4548 4.4534 5.9174
-0.0185 1.9016 5.9174
4.5657 0.9348 2.7072
3.1294 3.4866 2.7072
1.6376 0.9668 2.7072
0.0000 3.5922 8.2812
0.0000 0.0000 0.0000
0.0000 0.0000 4.3123
```